This record from the Alexandria database describes an optimized crystal structure of K2VSe2O6. The functional is PBE with a Hubbard U.

Structure (CIF):
```
data_K2VSe2O6
_space_group_name_H-M_alt 'C 1 2/m 1'
_space_group_IT_number 12
_space_group_name_Hall '-C 2y'
_cell_length_a 8.956
_cell_length_b 6.549
_cell_length_c 6.514
_cell_angle_alpha 90.00
_cell_angle_beta 111.52
_cell_angle_gamma 90.00
loop_
_atom_site_label
_atom_site_type_symbol
_atom_site_fract_x
_atom_site_fract_y
_atom_site_fract_z
_atom_site_occupancy
K1 K 0.197 0.000 0.102 1
V1 V 0.000 0.000 0.500 1
Se1 Se 0.075 0.500 0.320 1
O1 O 0.047 0.197 0.327 1
O2 O 0.239 0.000 0.718 1
```

---

This record from the Alexandria database describes an optimized crystal structure of KV2SeO8. The functional is PBE with a Hubbard U.

Structure (CIF):
```
data_KV2SeO8
_space_group_name_H-M_alt 'C 1 2/m 1'
_space_group_IT_number 12
_space_group_name_Hall '-C 2y'
_cell_length_a 8.721
_cell_length_b 5.616
_cell_length_c 7.870
_cell_angle_alpha 90.00
_cell_angle_beta 93.42
_cell_angle_gamma 90.00
loop_
_atom_site_label
_atom_site_type_symbol
_atom_site_fract_x
_atom_site_fract_y
_atom_site_fract_z
_atom_site_occupancy
K1 K 0.000 0.000 0.000 1
V1 V 0.131 0.500 0.305 1
Se1 Se 0.000 0.000 0.500 1
O1 O 0.016 0.235 0.325 1
O2 O 0.191 0.500 0.110 1
O3 O 0.219 0.000 0.535 1
```

---

This record from the Alexandria database describes an optimized crystal structure of KVSeO6. The functional is PBE with a Hubbard U.

Structure (CIF):
```
data_KVSeO6
_space_group_name_H-M_alt 'P -3 1 c'
_space_group_IT_number 163
_space_group_name_Hall '-P 3 2c'
_cell_length_a 4.9994
_cell_length_b 4.9994
_cell_length_c 12.1004
_cell_angle_alpha 90.00
_cell_angle_beta 90.00
_cell_angle_gamma 120.00
loop_
_atom_site_label
_atom_site_type_symbol
_atom_site_fract_x
_atom_site_fract_y
_atom_site_fract_z
_atom_site_occupancy
K1 K 0.0000 0.0000 0.0000 1
V1 V 0.3333 0.6667 0.2500 1
Se1 Se 0.3333 0.6667 0.7500 1
O1 O 0.0108 0.3943 0.6632 1
```

---

This record from the Alexandria database describes an optimized crystal structure of KVSe2O8. The functional is PBE with a Hubbard U.

Structure (CIF):
```
data_KVSe2O8
_space_group_name_H-M_alt 'C 1 2/m 1'
_space_group_IT_number 12
_space_group_name_Hall '-C 2y'
_cell_length_a 9.865
_cell_length_b 5.570
_cell_length_c 6.967
_cell_angle_alpha 90.00
_cell_angle_beta 107.62
_cell_angle_gamma 90.00
loop_
_atom_site_label
_atom_site_type_symbol
_atom_site_fract_x
_atom_site_fract_y
_atom_site_fract_z
_atom_site_occupancy
K1 K 0.000 0.000 0.000 1
V1 V 0.000 0.500 0.500 1
Se1 Se 0.194 0.000 0.613 1
O1 O 0.118 0.241 0.695 1
O2 O 0.128 0.500 0.284 1
O3 O 0.155 0.000 0.370 1
```

---

no.,VASP energy (eV per atom)
1,-5.4030
2,-6.3670
3,-5.9462
4,-5.6698